Computed, not measured: a relaxed Tl3MoCl6 crystal at the PBE-GGA level of DFT.

```
data_Tl3MoCl6
_chemical_formula_sum 'Tl6 Mo2 Cl12'
_space_group_name_H-M_alt 'P 1'
_space_group_IT_number 1
_cell_length_a 8.779
_cell_length_b 8.779
_cell_length_c 8.779
_cell_angle_alpha 90.11
_cell_angle_beta 90.11
_cell_angle_gamma 90.11
loop_
_space_group_symop_operation_xyz
'x,y,z'
loop_
_atom_site_label
_atom_site_type_symbol
_atom_site_fract_x
_atom_site_fract_y
_atom_site_fract_z
_atom_site_occupancy
Tl1 Tl 0.436 0.922 0.760 1
Tl2 Tl 0.922 0.760 0.436 1
Tl3 Tl 0.240 0.564 0.078 1
Tl4 Tl 0.760 0.436 0.922 1
Tl5 Tl 0.078 0.240 0.564 1
Tl6 Tl 0.564 0.078 0.240 1
Mo1 Mo 0.000 0.000 0.000 1
Mo2 Mo 0.500 0.500 0.500 1
Cl1 Cl 0.258 0.931 0.088 1
Cl2 Cl 0.069 0.912 0.742 1
Cl3 Cl 0.561 0.771 0.453 1
Cl4 Cl 0.912 0.742 0.069 1
Cl5 Cl 0.453 0.561 0.771 1
Cl6 Cl 0.229 0.547 0.439 1
Cl7 Cl 0.771 0.453 0.561 1
Cl8 Cl 0.547 0.439 0.229 1
Cl9 Cl 0.088 0.258 0.931 1
Cl10 Cl 0.439 0.229 0.547 1
Cl11 Cl 0.931 0.088 0.258 1
Cl12 Cl 0.742 0.069 0.912 1
```

Calculated values
Its volume is 676.6 Å³ per cell. The total moment comes out at 3.00 μB/f.u. The energy comes out at -77.36 eV per cell. The space group is R-3.